1.
This record from Alexandria describes a geometry-optimized Pm3Mg2Au4 structure. The functional is PBE.

Formation enthalpy at 0 K ... -0.69 eV/atom
Offset from the most stable computed form ... 0.000 eV per atom
Total magnetization ... 0.000 μB per atom
Space-group type ... No. 12

Lattice parameters (Å, degrees): 6.7707 6.7707 9.2613 117.34 117.34 36.26
Closest atoms and distances in Å follow each position.
Fractional coordinates of all 9 atoms:
Pm: 0.0000 0.0000 0.0000  6 Au 3.12-3.47
Pm: 0.3714 0.3714 0.2969  7 Au 3.02-3.21
Pm: 0.6286 0.6286 0.7031  7 Au 3.02-3.21
Mg: 0.3251 0.3251 0.6533  4 Au 2.70-2.91
Mg: 0.6749 0.6749 0.3467  4 Au 2.70-2.91
Au: 0.0740 0.0740 0.4132  3 Mg 2.70-2.91
Au: 0.3040 0.3040 0.9366  1 Mg 2.77, 3 Pm 3.02-3.08, 2 Au 3.05
Au: 0.6960 0.6960 0.0634  1 Mg 2.77, 3 Pm 3.02-3.08, 2 Au 3.05
Au: 0.9260 0.9260 0.5868  3 Mg 2.70-2.91

***

2.
This record from Alexandria describes a geometry-optimized TlBi2Se4 structure. The functional is PBE.

Formation energy without anion corrections ... -0.295 eV per atom
Offset from the most stable computed form ... 0.035 eV per atom
Total magnetization ... 0.000 μB per atom
Space-group type ... No. 63

Lattice parameters (Å, degrees): 7.2736 7.2736 14.5453 90.00 90.00 146.86
Closest atoms and distances in Å follow each position.
Fractional coordinates of all 14 atoms:
Tl: 0.1008 0.8992 0.7500  2 Se 2.93
Tl: 0.8992 0.1008 0.2500  2 Se 2.93
Bi: 0.3628 0.6372 0.5650  6 Se 2.92-2.98
Bi: 0.3628 0.6372 0.9350  6 Se 2.92-2.98
Bi: 0.6372 0.3628 0.0650  6 Se 2.92-2.98
Bi: 0.6372 0.3628 0.4350  6 Se 2.92-2.98
Se: 0.0000 0.0000 0.0000  4 Bi 2.98
Se: 0.0000 0.0000 0.5000  4 Bi 2.98
Se: 0.2731 0.7269 0.1188  3 Bi 2.92-2.95
Se: 0.2731 0.7269 0.3812  3 Bi 2.92-2.95
Se: 0.4528 0.5472 0.7500  2 Tl 2.93, 2 Bi 2.97
Se: 0.5472 0.4528 0.2500  2 Tl 2.93, 2 Bi 2.97
Se: 0.7269 0.2731 0.6188  3 Bi 2.92-2.95
Se: 0.7269 0.2731 0.8812  3 Bi 2.92-2.95

***

3.
This record from Alexandria describes a geometry-optimized ScVC structure. The functional is PBE.

Formation enthalpy at 0 K ... 0.06 eV/atom
Total magnetization ... 0.000 μB per atom
Space-group type ... No. 62

Lattice parameters (Å, degrees): 5.9676 2.9808 9.9075 90.00 90.00 90.00
Closest atoms and distances in Å follow each position.
Fractional coordinates of all 12 atoms:
Sc: 0.1121 0.2500 0.1348  3 C 2.27-2.49
Sc: 0.3879 0.7500 0.6348  3 C 2.27-2.49
Sc: 0.6121 0.2500 0.3652  3 C 2.27-2.49
Sc: 0.8879 0.7500 0.8652  3 C 2.27-2.49
V: 0.1286 0.2500 0.4277  2 C 1.95
V: 0.3714 0.7500 0.9277  2 C 1.95
V: 0.6286 0.2500 0.0723  2 C 1.95
V: 0.8714 0.7500 0.5723  2 C 1.95
C: 0.1729 0.2500 0.8863  2 V 1.95
C: 0.3271 0.7500 0.3863  2 V 1.95
C: 0.6729 0.2500 0.6137  2 V 1.95
C: 0.8271 0.7500 0.1137  2 V 1.95

***

4.
This record from Alexandria describes a geometry-optimized LiAc2Er structure. The functional is PBE.

Formation enthalpy at 0 K ... 0.08 eV/atom
Offset from the most stable computed form ... 0.000 eV per atom
Total magnetization ... 0.000 μB per atom
Space-group type ... No. 123

Lattice parameters (Å, degrees): 4.0412 4.0412 8.7912 90.00 90.00 90.00
Closest atoms and distances in Å follow each position.
Fractional coordinates of all 4 atoms:
Li: 0.0000 0.0000 0.0000  8 Ac 3.53
Ac: 0.5000 0.5000 0.2364  4 Li 3.53, 4 Er 3.68
Ac: 0.5000 0.5000 0.7636  4 Li 3.53, 4 Er 3.68
Er: 0.0000 0.0000 0.5000  8 Ac 3.68, 4 Er 4.04

***

5.
This record from Alexandria describes a geometry-optimized SrNiTe structure. The functional is PBE.

Formation energy without anion corrections ... -0.757 eV per atom
Total magnetization ... 0.000 μB per atom
Space-group type ... No. 8

Lattice parameters (Å, degrees): 4.3761 4.3761 9.9810 102.80 102.80 59.97
Closest atoms and distances in Å follow each position.
Fractional coordinates of all 6 atoms:
Sr: 0.0000 0.0000 0.0000  1 Ni 3.17, 6 Te 3.25-3.40
Sr: 0.5207 0.5207 0.5676  4 Te 3.21-3.30, 6 Ni 3.39-3.58
Ni: 0.1115 0.1115 0.3288  3 Ni 2.53, 3 Te 2.68-2.69
Ni: 0.7713 0.7713 0.3082  3 Ni 2.53, 3 Te 2.62
Te: 0.2611 0.2611 0.7870  6 Sr 3.25-3.30
Te: 0.4135 0.4135 0.2351  6 Ni 2.62-2.69

***

6.
This record from Alexandria describes a geometry-optimized ZrBiSe2Br structure. The functional is PBE.

Formation energy without anion corrections ... -0.429 eV per atom
Offset from the most stable computed form ... 0.000 eV per atom
Total magnetization ... 0.000 μB per atom
Space-group type ... No. 123

Lattice parameters (Å, degrees): 5.2675 5.2675 5.2295 90.00 90.00 90.00
Closest atoms and distances in Å follow each position.
Fractional coordinates of all 5 atoms:
Zr: 0.0000 0.0000 0.0000  2 Br 2.61, 4 Se 2.63
Bi: 0.5000 0.5000 0.5000  8 Se 3.71, 4 Br 3.72
Se: 0.0000 0.5000 0.0000  2 Zr 2.63
Se: 0.5000 0.0000 0.0000  2 Zr 2.63
Br: 0.0000 0.0000 0.5000  2 Zr 2.61